No. 1
# CsSc3Fe, relaxed, DFT GGA-PBE
# formation energy	0.42	eV/atom
data_CsSc3Fe
_cell_length_a 5.1225
_cell_length_b 5.1225
_cell_length_c 5.1225
_cell_angle_alpha 90.00
_cell_angle_beta 90.00
_cell_angle_gamma 90.00
_space_group_name_H-M_alt 'P m -3 m'
_space_group_IT_number 221
_space_group_name_Hall '-P 4 2 3'
loop_
_atom_site_label
_atom_site_fract_x
_atom_site_fract_y
_atom_site_fract_z
Cs1 0.0000 0.0000 0.0000
Sc1 0.0000 0.5000 0.5000
Fe1 0.5000 0.5000 0.5000

***

No. 2
# Ce2Tm6Th, relaxed, DFT GGA-PBE
# formation energy	0.15	eV/atom
data_Ce2Tm6Th
_cell_length_a 9.0474
_cell_length_b 17.3241
_cell_length_c 3.5324
_cell_angle_alpha 90.00
_cell_angle_beta 99.49
_cell_angle_gamma 90.00
_space_group_name_H-M_alt 'C 1 2/m 1'
_space_group_IT_number 12
loop_
_space_group_symop_operation_xyz
'x,y,z'
'-x,-y,-z'
'-x,y,-z'
'x,-y,z'
'x+1/2,y+1/2,z'
'-x+1/2,-y+1/2,-z'
'-x+1/2,y+1/2,-z'
'x+1/2,-y+1/2,z'
loop_
_atom_site_label
_atom_site_fract_x
_atom_site_fract_y
_atom_site_fract_z
Ce1 0.0000 0.1656 0.0000
Tm1 0.1641 0.5000 0.8346
Tm2 0.1661 0.3334 0.3353
Th1 0.0000 0.0000 0.5000

***

No. 3
# Tb6Pm6Dy, relaxed, DFT GGA-PBE
# formation energy	0.28	eV/atom
data_Tb6Pm6Dy
_cell_length_a 6.7259
_cell_length_b 6.7259
_cell_length_c 11.4153
_cell_angle_alpha 90.00
_cell_angle_beta 90.00
_cell_angle_gamma 120.00
_space_group_name_H-M_alt 'P 6/m m m'
_space_group_IT_number 191
_space_group_name_Hall '-P 6 2'
loop_
_atom_site_label
_atom_site_fract_x
_atom_site_fract_y
_atom_site_fract_z
Tb1 0.0000 0.5000 0.2473
Pm1 0.0000 0.0000 0.3464
Pm2 0.3333 0.6667 0.0000
Pm3 0.3333 0.6667 0.5000
Dy1 0.0000 0.0000 0.0000

***

The calculation returns the following energy values, one per record and in order: -5.2450 -4.9719 -4.4041 eV/atom.
The calculation returns the following volume values, one per record and in order: 26.883 30.338 34.405 Å³ per atom.